[1]
Material: Re3PAu
Method: DFT, PBE
State: optimized geometry

Cell lengths 4.8440, 4.8440, 4.8440 Å; angles 90.00, 90.00, 90.00 degrees
Space group Pm-3m (No. 221)
Asymmetric unit:
Re  0.0000  0.0000  0.5000 x3
P  0.5000  0.5000  0.5000 x1
Au  0.0000  0.0000  0.0000 x1

Output
The electronic total energy is -5.99 eV/atom. The value obtained for the energy above the most stable polymorph in this dataset is 2268.6 meV per atom. Its formation energy is 3214 meV/atom.

---

[2]
Material: RePAu2
Method: DFT, PBE
State: optimized geometry

Cell lengths 2.9007, 3.8028, 12.4342 Å; angles 90.00, 90.00, 90.00 degrees
Space group Immm (No. 71)
Asymmetric unit:
Re  0.0000  0.0000  0.0000 x2
P  0.0000  0.0000  0.5000 x2
Au  0.0000  0.5000  0.1846 x4

Output
The electronic total energy is -5.72 eV/atom. Its formation energy is 382 meV/atom.

---

[3]
Material: Re2PAu
Method: DFT, PBE
State: optimized geometry

Cell lengths 7.5713, 2.9248, 5.8436 Å; angles 90.00, 101.84, 90.00 degrees
Space group C2/m (No. 12)
Asymmetric unit:
Re  0.2410  0.0000  0.1927 x4
P  0.0000  0.5000  0.0000 x2
Au  0.0000  0.0000  0.5000 x2

Output
The electronic total energy is -8.04 eV/atom. Its formation energy is 359 meV/atom.

---

[4]
Material: Re2PAu
Method: DFT, PBE
State: optimized geometry

Cell lengths 2.9010, 4.7151, 9.5410 Å; angles 90.00, 90.00, 90.00 degrees
Space group Cmm2 (No. 35)
Asymmetric unit:
Re  0.0000  0.0000  0.0000 x2
Re  0.0000  0.5000  0.2298 x2
P  0.0000  0.5000  0.7903 x2
Au  0.0000  0.0000  0.4957 x2

Output
The electronic total energy is -7.94 eV/atom. Its formation energy is 452 meV/atom.

---

[5]
Material: RePAu2
Method: DFT, PBE
State: optimized geometry

Cell lengths 5.3667, 8.9538, 2.7320 Å; angles 90.00, 90.00, 90.00 degrees
Space group Cmmm (No. 65)
Asymmetric unit:
Re  0.0000  0.0000  0.0000 x2
P  0.0000  0.5000  0.0000 x2
Au  0.2500  0.2500  0.5000 x4

Output
The electronic total energy is -5.49 eV/atom. Its formation energy is 616 meV/atom.

---

[6]
Material: RePAu2
Method: DFT, PBE
State: optimized geometry

Cell lengths 2.7177, 4.1132, 5.9072 Å; angles 90.00, 90.00, 90.00 degrees
Space group Pmmm (No. 47)
Asymmetric unit:
Re  0.0000  0.0000  0.0000 x1
P  0.0000  0.0000  0.5000 x1
Au  0.5000  0.5000  0.2481 x2

Output
The electronic total energy is -5.41 eV/atom. Its formation energy is 693 meV/atom.